Rb3Ac3TmSe8 after structural relaxation, computed with PBE.

Lattice parameters (Å, degrees): 9.652 9.652 9.652 55.73 55.73 55.73
Sites, in units of the cell vectors:
Rb: 0.000 0.500 0.500
Rb: 0.500 0.000 0.500
Rb: 0.500 0.500 0.000
Ac: 0.000 0.000 0.500
Ac: 0.000 0.500 0.000
Ac: 0.500 0.000 0.000
Tm: 0.500 0.500 0.500
Se: 0.236 0.236 0.236
Se: 0.255 0.719 0.719
Se: 0.281 0.281 0.745
Se: 0.281 0.745 0.281
Se: 0.719 0.255 0.719
Se: 0.719 0.719 0.255
Se: 0.745 0.281 0.281
Se: 0.764 0.764 0.764

uncorrected formation energy = -1.685 eV per atom

---

NdInOs after structural relaxation, computed with PBE.

Lattice parameters (Å, degrees): 5.347 4.303 6.708 90.00 97.49 90.00
Sites, in units of the cell vectors:
Nd: 0.071 0.250 0.253
Nd: 0.929 0.750 0.747
In: 0.402 0.250 0.841
In: 0.598 0.750 0.159
Os: 0.419 0.750 0.546
Os: 0.581 0.250 0.454

energy of formation from the pure elements = -1.6 kcal/mol of atoms

---

K3AcNp2S6 after structural relaxation, computed with PBE.

Lattice parameters (Å, degrees): 7.291 7.291 7.785 99.01 99.01 120.01
Sites, in units of the cell vectors:
K: 0.000 0.000 0.000
K: 0.335 0.665 0.000
K: 0.665 0.335 0.000
Ac: 0.500 0.500 0.500
Np: 0.167 0.833 0.500
Np: 0.833 0.167 0.500
S: 0.079 0.431 0.295
S: 0.217 0.217 0.706
S: 0.431 0.079 0.295
S: 0.569 0.921 0.705
S: 0.783 0.783 0.294
S: 0.921 0.569 0.705

uncorrected formation energy = -1.537 eV per atom